Below is a relaxed Ba2TaRe crystal, with properties calculated at the GGA-PBE level.

## Properties
energy above the most stable polymorph in this dataset = 1323 meV per atom
space-group type = Fm-3m
mass density = 8.9 g cm⁻³
DOS(E_F) = 7.55 states/eV/cell
energy relative to the elements = 1.83 eV per atom

a = 5.5256 Å, b = 5.5256 Å, c = 5.5256 Å
α = 60.00°, β = 60.00°, γ = 60.00°
Fractional positions:
Ba 0.2500 0.2500 0.2500
Ba 0.7500 0.7500 0.7500
Ta 0.0000 0.0000 0.0000
Re 0.5000 0.5000 0.5000